{"formula": "Sr2CuH6Au", "functional": "PBE", "state": "relaxed", "spacegroup": "Fmmm, No. 69", "lattice": [[-2.989, 4.116, 2.080], [-4.459, -3.207, -0.184], [4.478, -1.708, 2.616]], "species": ["Sr", "Sr", "H", "H", "H", "H", "H", "H", "Au", "Cu"], "frac_coords": [[0.250, 0.750, 0.500], [0.750, 0.251, 0.500], [0.235, 0.235, 0.001], [0.228, 0.772, 0.000], [0.765, 0.765, 0.530], [0.765, 0.765, 0.999], [0.772, 0.229, 0.000], [0.235, 0.236, 0.470], [0.500, 0.500, 0.000], [0.000, 0.000, 0.000]]}


{"formula": "Sr2CuHAu", "functional": "PBE", "state": "relaxed", "spacegroup": "P4/mmm, No. 123", "lattice": [[5.348, 0.000, 0.000], [0.000, 5.348, 0.000], [0.000, 0.000, 3.826]], "species": ["Sr", "Sr", "H", "Au", "Cu"], "frac_coords": [[0.000, 0.500, 0.000], [0.500, 0.000, 0.000], [0.000, 0.000, 0.000], [0.500, 0.500, 0.500], [0.000, 0.000, 0.500]]}


{"formula": "TaCu2HAu", "functional": "PBE", "state": "relaxed", "spacegroup": "P4/mmm, No. 123", "lattice": [[4.046, 0.000, 0.000], [0.000, 4.046, 0.000], [0.000, 0.000, 3.869]], "species": ["H", "Cu", "Cu", "Ta", "Au"], "frac_coords": [[0.000, 0.000, 0.000], [0.000, 0.500, 0.000], [0.500, 0.000, 0.000], [0.000, 0.000, 0.500], [0.500, 0.500, 0.500]]}


no.,calculated total energy (eV for the cell shown),magnetic moment (μB per cell)
1,-33.83,0.00
2,-15.94,0.00
3,-25.91,0.00